1.
A plane-wave DFT calculation with PBE was carried out for crystalline BaSi2P at its relaxed geometry.

Cell: 8.5085 8.5085 8.5085 Å, 24.38 24.38 24.38°
Last column: nearest neighbours and their distance in Å.
Positions (direct):
Si1 0.0277 0.0277 0.0277  3 P 2.49
Ba1 0.2500 0.2500 0.2500  6 Si 3.44, 6 Ba 3.59
P1 0.7500 0.7500 0.7500  6 Si 2.49
Si2 0.4723 0.4723 0.4723  3 P 2.49

Formation energy from raw total energies: 0.272 eV per atom
Space-group type: R-3m
VASP energy: -0.3141 Ry per atom
Calculated volume: 23.07 Å³ per atom



2.
A plane-wave DFT calculation with PBE was carried out for crystalline CrBI3 at its relaxed geometry.

Cell: 5.1664 5.1664 5.1664 Å, 90.00 90.00 90.00°
Last column: nearest neighbours and their distance in Å.
Positions (direct):
Cr1 0.5000 0.5000 0.5000  12 I 3.65
I1 0.5000 0.0000 0.0000  2 B 2.58
I2 0.0000 0.5000 0.0000  2 B 2.58
I3 0.0000 0.0000 0.5000  2 B 2.58
B1 0.0000 0.0000 0.0000  6 I 2.58

Energy above the lowest structure with this stoichiometry: 14.5 meV/atom
Formation energy from raw total energies: 0.914 eV per atom
Space-group type: Pm-3m
VASP energy: -0.2408 Ry per atom
Calculated volume: 27.58 Å³ per atom



3.
A plane-wave DFT calculation with PBE was carried out for crystalline ZrTc at its relaxed geometry.

Cell: 4.7766 4.7766 7.7266 Å, 90.00 90.00 120.00°
Last column: nearest neighbours and their distance in Å.
Positions (direct):
Tc1 0.3333 0.6667 0.0905  1 Tc 2.46, 1 Zr 2.63
Zr1 0.0000 0.0000 0.7500  3 Zr 2.76, 6 Tc 3.02
Tc2 0.6667 0.3333 0.5905  1 Tc 2.46, 1 Zr 2.63
Zr2 0.0000 0.0000 0.2500  3 Zr 2.76, 6 Tc 3.02
Tc3 0.6667 0.3333 0.9095  1 Tc 2.46, 1 Zr 2.63
Tc4 0.3333 0.6667 0.4095  1 Tc 2.46, 1 Zr 2.63
Zr3 0.3333 0.6667 0.7500  2 Tc 2.63, 3 Zr 2.76
Zr4 0.6667 0.3333 0.2500  2 Tc 2.63, 3 Zr 2.76

Formation energy from the elements: 0.385 eV per atom
Space-group type: P6_3/mmc
VASP energy: -0.6668 Ry per atom
Calculated volume: 19.08 Å³ per atom



4.
A plane-wave DFT calculation with PBE was carried out for crystalline CaTm2Pb at its relaxed geometry.

Cell: 5.1719 5.1719 6.6638 Å, 67.17 67.17 60.00°
Last column: nearest neighbours and their distance in Å.
Positions (direct):
Pb1 0.6808 0.6808 0.9576  6 Tm 3.07-3.25, 1 Ca 3.40
Tm1 0.0533 0.0533 0.8401  3 Pb 3.07
Ca1 0.4908 0.4908 0.5275  1 Pb 3.40, 6 Tm 3.52-3.65
Tm2 0.2750 0.2750 0.1749  3 Pb 3.25, 3 Tm 3.59

Energy above the lowest structure with this stoichiometry: 221.3 meV/atom
Formation energy from the elements: 0.019 eV per atom
Space-group type: R3m
VASP energy: -0.2679 Ry per atom
Calculated volume: 34.50 Å³ per atom



5.
A plane-wave DFT calculation with PBE was carried out for crystalline ScSbH2Ru at its relaxed geometry.

Cell: 3.7566 3.7566 6.2094 Å, 90.00 90.00 90.00°
Last column: nearest neighbours and their distance in Å.
Positions (direct):
Sb1 0.0000 0.0000 0.0000  4 H 1.88
Sc1 0.0000 0.0000 0.5000  4 Ru 2.66
Ru1 0.5000 0.5000 0.5000  4 Sc 2.66
H1 0.0000 0.5000 0.0000  2 Sb 1.88
H2 0.5000 0.0000 0.0000  2 Sb 1.88

Space-group type: P4/mmm
VASP energy: -0.3395 Ry per atom
Calculated volume: 17.53 Å³ per atom



6.
A plane-wave DFT calculation with PBE was carried out for crystalline Cu6AgPd5 at its relaxed geometry.

Cell: 4.3056 6.0120 7.4362 Å, 113.84 106.83 90.00°
Last column: nearest neighbours and their distance in Å.
Positions (direct):
Cu1 0.5000 0.2575 0.0000  6 Pd 2.60-2.63, 2 Ag 2.65
Cu2 0.1689 0.4229 0.3377  7 Pd 2.61-2.64, 1 Ag 2.66
Ag1 0.0000 0.0000 0.0000  8 Cu 2.65-2.66
Pd1 0.6643 0.1643 0.3286  8 Cu 2.61-2.64
Cu3 0.5000 0.7425 0.0000  6 Pd 2.60-2.63, 2 Ag 2.65
Cu4 0.8311 0.5771 0.6623  7 Pd 2.61-2.64, 1 Ag 2.66
Cu5 0.8311 0.0852 0.6623  7 Pd 2.61-2.64, 1 Ag 2.66
Pd2 0.3326 0.3326 0.6653  8 Cu 2.61
Cu6 0.1689 0.9148 0.3377  7 Pd 2.61-2.64, 1 Ag 2.66
Pd3 0.6674 0.6674 0.3347  8 Cu 2.61
Pd4 0.3357 0.8357 0.6714  8 Cu 2.61-2.64
Pd5 0.0000 0.5000 0.0000  8 Cu 2.60-2.63

Formation energy from the elements: -0.102 eV per atom
Space-group type: Immm
VASP energy: -0.3345 Ry per atom
Calculated volume: 13.92 Å³ per atom



7.
A plane-wave DFT calculation with PBE was carried out for crystalline Li8Mg2In at its relaxed geometry.

Cell: 4.8091 5.6813 8.2230 Å, 91.57 107.00 90.00°
Last column: nearest neighbours and their distance in Å.
Positions (direct):
Li1 0.0394 0.7396 0.0789  5 Li 2.83-2.99, 2 In 2.90, 1 Mg 2.96
Li2 0.1369 0.1671 0.2738  7 Li 2.83-3.04, 1 Mg 3.00
Mg1 0.7762 0.3556 0.5524  6 Li 2.94-3.03, 2 Mg 3.04
Li3 0.9606 0.2604 0.9211  5 Li 2.83-2.99, 2 In 2.90, 1 Mg 2.96
In1 0.5000 0.0000 0.0000  8 Li 2.85-2.93
Li4 0.5886 0.4617 0.1772  6 Li 2.83-3.04, 1 In 2.93, 1 Mg 3.03
Mg2 0.2238 0.6444 0.4476  6 Li 2.94-3.03, 2 Mg 3.04
Li5 0.3226 0.0922 0.6452  1 In 2.85, 4 Li 2.86-2.96, 3 Mg 2.94
Li6 0.4114 0.5383 0.8228  6 Li 2.83-3.04, 1 In 2.93, 1 Mg 3.03
Li7 0.8631 0.8329 0.7262  7 Li 2.83-3.04, 1 Mg 3.00
Li8 0.6774 0.9078 0.3548  1 In 2.85, 4 Li 2.86-2.96, 3 Mg 2.94

Energy above the lowest structure with this stoichiometry: 0.0 meV/atom
Formation energy from the elements: -0.106 eV per atom
Space-group type: C2/m
VASP energy: -0.1497 Ry per atom
Calculated volume: 19.52 Å³ per atom



8.
A plane-wave DFT calculation with PBE was carried out for crystalline Rb2BiSb3Pb4 at its relaxed geometry.

Cell: 5.3852 5.3852 13.6060 Å, 90.00 90.00 90.00°
Last column: nearest neighbours and their distance in Å.
Positions (direct):
Pb1 0.5000 0.0000 0.6268  3 Sb 3.20-3.28, 2 Bi 3.20
Rb1 0.5000 0.0000 0.2591  8 Pb 4.11-4.44, 6 Sb 4.18-4.24, 2 Bi 4.24
Pb2 0.5000 0.5000 0.0000  4 Sb 3.24
Bi1 0.5000 0.5000 0.5000  4 Pb 3.20
Sb1 0.0000 0.0000 0.5000  4 Pb 3.20
Rb2 0.0000 0.5000 0.7409  8 Pb 4.11-4.44, 6 Sb 4.18-4.24, 2 Bi 4.24
Pb3 0.0000 0.5000 0.3732  3 Sb 3.20-3.28, 2 Bi 3.20
Pb4 0.0000 0.0000 0.0000  4 Sb 3.24
Sb2 0.5000 0.0000 0.8680  5 Pb 3.24-3.28
Sb3 0.0000 0.5000 0.1320  5 Pb 3.24-3.28

Formation energy from raw total energies: -0.155 eV per atom
Space-group type: P-4m2
VASP energy: -0.2541 Ry per atom
Calculated volume: 39.46 Å³ per atom



9.
A plane-wave DFT calculation with PBE was carried out for crystalline AcDy2O at its relaxed geometry.

Cell: 3.3148 3.3148 8.9288 Å, 90.00 90.00 90.00°
Last column: nearest neighbours and their distance in Å.
Positions (direct):
O1 0.5000 0.5000 0.0000  8 Dy 2.80
Dy1 0.0000 0.0000 0.8277  4 O 2.80, 1 Dy 3.08
Dy2 0.0000 0.0000 0.1723  4 O 2.80, 1 Dy 3.08
Ac1 0.5000 0.5000 0.5000  4 Ac 3.31

Energy above the lowest structure with this stoichiometry: 513.4 meV/atom
Formation energy from raw total energies: -0.663 eV per atom
Space-group type: P4/mmm
VASP energy: -0.3844 Ry per atom
Calculated volume: 24.53 Å³ per atom



10.
A plane-wave DFT calculation with PBE was carried out for crystalline ScPt2Au at its relaxed geometry.

Cell: 4.6044 4.6044 4.6044 Å, 60.00 60.00 60.00°
Last column: nearest neighbours and their distance in Å.
Positions (direct):
Au1 0.5000 0.5000 0.5000  8 Pt 2.82
Sc1 0.0000 0.0000 0.0000  8 Pt 2.82
Pt1 0.7500 0.7500 0.7500  4 Au 2.82, 4 Sc 2.82
Pt2 0.2500 0.2500 0.2500  4 Sc 2.82, 4 Au 2.82

Formation energy from the elements: -0.732 eV per atom
Space-group type: Fm-3m
VASP energy: -0.4524 Ry per atom
Calculated volume: 17.26 Å³ per atom



11.
A plane-wave DFT calculation with PBE was carried out for crystalline InSe2N2 at its relaxed geometry.

Cell: 3.8549 3.8549 6.5106 Å, 90.00 90.00 90.00°
Last column: nearest neighbours and their distance in Å.
Positions (direct):
N1 0.5000 0.0000 0.0000  2 Se 1.93
In1 0.5000 0.5000 0.5000  4 Se 2.73
N2 0.0000 0.5000 0.0000  2 Se 1.93
Se1 0.0000 0.0000 0.5000  4 In 2.73
Se2 0.0000 0.0000 0.0000  4 N 1.93

Energy above the lowest structure with this stoichiometry: 1411.0 meV/atom
Formation energy from raw total energies: 1.291 eV per atom
Space-group type: P4/mmm
VASP energy: -0.2925 Ry per atom
Calculated volume: 19.35 Å³ per atom



12.
A plane-wave DFT calculation with PBE was carried out for crystalline CePa2Se6 at its relaxed geometry.

Cell: 7.4271 9.0111 9.0111 Å, 77.53 70.64 70.64°
Last column: nearest neighbours and their distance in Å.
Positions (direct):
Ce1 0.7500 0.6662 0.3338  8 Se 3.02-3.19
Se1 0.1760 0.4300 0.3300  2 Pa 2.81-2.87
Se2 0.6760 0.3300 0.4300  2 Pa 2.81-2.87
Pa1 0.4145 0.6883 0.8430  6 Se 2.75-2.87
Se3 0.0405 0.1092 0.6400  2 Pa 2.75-2.82, 1 Ce 3.02
Pa2 0.9145 0.8430 0.6883  6 Se 2.75-2.87
Se4 0.9957 0.2460 0.0186  2 Pa 2.79-2.82
Ce2 0.2500 0.3338 0.6662  8 Se 3.02-3.19
Pa3 0.5855 0.3117 0.1570  6 Se 2.75-2.87
Pa4 0.0855 0.1570 0.3117  6 Se 2.75-2.87
Se5 0.3240 0.6700 0.5700  2 Pa 2.81-2.87
Se6 0.9595 0.8908 0.3600  2 Pa 2.75-2.82, 1 Ce 3.02
Se7 0.4595 0.3600 0.8908  2 Pa 2.75-2.82, 1 Ce 3.02
Se8 0.5043 0.9814 0.7540  2 Pa 2.79-2.82
Se9 0.5405 0.6400 0.1092  2 Pa 2.75-2.82, 1 Ce 3.02
Se10 0.4957 0.0186 0.2460  2 Pa 2.79-2.82
Se11 0.0043 0.7540 0.9814  2 Pa 2.79-2.82
Se12 0.8240 0.5700 0.6700  2 Pa 2.81-2.87

Energy above the lowest structure with this stoichiometry: 0.0 meV/atom
Formation energy from raw total energies: -1.416 eV per atom
Space-group type: C2/c
VASP energy: -0.4784 Ry per atom
Calculated volume: 29.61 Å³ per atom



13.
A plane-wave DFT calculation with PBE was carried out for crystalline NaBe3Ga at its relaxed geometry.

Cell: 4.5345 4.5345 4.5345 Å, 90.00 90.00 90.00°
Last column: nearest neighbours and their distance in Å.
Positions (direct):
Be1 0.5000 0.0000 0.0000  2 Na 2.27
Be2 0.0000 0.5000 0.0000  2 Na 2.27
Na1 0.0000 0.0000 0.0000  6 Be 2.27
Ga1 0.5000 0.5000 0.5000  12 Be 3.21
Be3 0.0000 0.0000 0.5000  2 Na 2.27

Energy above the lowest structure with this stoichiometry: 1022.0 meV/atom
Formation energy from the elements: 1.738 eV per atom
Space-group type: Pm-3m
VASP energy: -0.1005 Ry per atom
Calculated volume: 18.65 Å³ per atom



Record-wise D(E_F) values, in states/eV/cell: 3.67 7.68 8.39 5.04 4.72 3.37 5.30 5.17 3.97 2.52 2.55 26.71 2.72